Compound: Rb2NaTlZn
Source: the Alexandria database
Functional: PBE
Structure: optimized geometry Values from VASP.

Values from the calculation:
ΔH_f (0 K), eV per atom: 0.13
Crystal system: tetragonal

```
&SYSTEM
  ibrav = 0, nat = 5, ntyp = 4
/
ATOMIC_SPECIES
Rb 85.47 Rb.upf
Zn 65.41 Zn.upf
Tl 204.38 Tl.upf
Na 22.99 Na.upf
ATOMIC_POSITIONS crystal
Rb 0.0000 0.5000 0.0000
Rb 0.5000 0.0000 0.0000
Zn 0.0000 0.0000 0.0000
Tl 0.0000 0.0000 0.5000
Na 0.5000 0.5000 0.5000
CELL_PARAMETERS angstrom
-0.5630 -5.7484 -3.8314
-0.5284 -3.7970 5.7745
-5.3757 0.5940 -0.1013
```